Entry 1:
This record from the Alexandria database describes crystalline MgSbRu2 at its relaxed geometry. The functional is PBE-GGA.

a = 5.4265 Å, b = 5.4265 Å, c = 5.4265 Å
α = 145.61°, β = 132.71°, γ = 59.76°
Last column: nearest neighbours and their distance in Å.
Element x y z (fractional)
Ru  0.9940  0.9940  0.0000  4 Sb 2.71, 2 Ru 2.84, 2 Mg 2.86
Ru  0.7451  0.2451  0.5000  2 Sb 2.69, 4 Mg 2.70, 2 Ru 2.84
Mg  0.2455  0.7455  0.5000  6 Ru 2.70-2.86, 2 Sb 3.00
Sb  0.5154  0.5154  0.0000  6 Ru 2.69-2.71, 2 Mg 3.00

Values from the calculation:
density of states at the Fermi level	4.6	states/eV per cell
uncorrected energy	-6.007	eV per atom
energy relative to the lowest polymorph listed for this composition	0.284	eV/atom
SG	Imm2
formation energy from raw total energies	0.242	eV per formula unit

Entry 2:
This record from the Alexandria database describes crystalline MgSb3Ru at its relaxed geometry. The functional is PBE-GGA.

a = 5.2308 Å, b = 5.2308 Å, c = 5.2308 Å
α = 90.00°, β = 90.00°, γ = 90.00°
Last column: nearest neighbours and their distance in Å.
Element x y z (fractional)
Mg  0.0000  0.0000  0.0000  6 Sb 2.62
Sb  0.5000  0.0000  0.0000  2 Mg 2.62
Sb  0.0000  0.0000  0.5000  2 Mg 2.62
Sb  0.0000  0.5000  0.0000  2 Mg 2.62
Ru  0.5000  0.5000  0.5000  12 Sb 3.70

Values from the calculation:
density of states at the Fermi level	12.8	states/eV per cell
uncorrected energy	-3.386	eV per atom
energy relative to the lowest polymorph listed for this composition	0.913	eV/atom
SG	Pm-3m
formation energy from raw total energies	6.306	eV per formula unit

Entry 3:
This record from the Alexandria database describes crystalline Mg2SbRu at its relaxed geometry. The functional is PBE-GGA.

a = 5.0693 Å, b = 5.0693 Å, c = 5.0693 Å
α = 131.31°, β = 131.18°, γ = 71.42°
Last column: nearest neighbours and their distance in Å.
Element x y z (fractional)
Mg  0.7498  0.2498  0.5000  4 Ru 2.93-2.94, 4 Mg 2.93-2.94, 4 Sb 2.96
Mg  0.0001  0.0001  0.0000  4 Sb 2.93-2.94, 4 Mg 2.93-2.94, 4 Ru 2.96
Ru  0.4998  0.4998  0.0000  4 Sb 2.93-2.94, 8 Mg 2.93-2.96
Sb  0.2503  0.7503  0.5000  4 Ru 2.93-2.94, 8 Mg 2.93-2.96

Values from the calculation:
density of states at the Fermi level	3.1	states/eV per cell
uncorrected energy	-4.240	eV per atom
SG	Imm2
formation energy from raw total energies	-0.374	eV per formula unit

Repeat the first record exactly.
This record from the Alexandria database describes crystalline MgSbRu2 at its relaxed geometry. The functional is PBE-GGA.

a = 5.4265 Å, b = 5.4265 Å, c = 5.4265 Å
α = 145.61°, β = 132.71°, γ = 59.76°
Last column: nearest neighbours and their distance in Å.
Element x y z (fractional)
Ru  0.9940  0.9940  0.0000  4 Sb 2.71, 2 Ru 2.84, 2 Mg 2.86
Ru  0.7451  0.2451  0.5000  2 Sb 2.69, 4 Mg 2.70, 2 Ru 2.84
Mg  0.2455  0.7455  0.5000  6 Ru 2.70-2.86, 2 Sb 3.00
Sb  0.5154  0.5154  0.0000  6 Ru 2.69-2.71, 2 Mg 3.00

Values from the calculation:
density of states at the Fermi level	4.6	states/eV per cell
uncorrected energy	-6.007	eV per atom
energy relative to the lowest polymorph listed for this composition	0.284	eV/atom
SG	Imm2
formation energy from raw total energies	0.242	eV per formula unit